(1)
Material: NaSrAu2
Method: DFT, GGA-PBE
State: optimized geometry

a b c (Å): 7.2751 7.2751 7.2751
angles (deg): 35.86 35.86 35.86
Closest atoms and distances in Å follow each position.
Fractional coordinates of all 4 atoms:
Na 0.0000 0.0000 0.0000  6 Au 2.92-3.03
Sr 0.1749 0.1749 0.1749  6 Au 3.20-3.26, 1 Na 3.57
Au 0.6005 0.6005 0.6005  3 Na 2.92, 1 Au 2.93, 3 Sr 3.20
Au 0.7441 0.7441 0.7441  1 Au 2.93, 3 Na 3.03, 3 Sr 3.26

**Size of the total moment**: 0.000 μB/f.u.
**Formation energy**: -0.463 eV per atom
**Density of states at the Fermi level**: 1.645 states/eV/cell

***

(2)
Material: Dy6YIn3
Method: DFT, GGA-PBE
State: optimized geometry

a b c (Å): 9.2885 9.2885 7.6605
angles (deg): 90.00 90.00 111.15
Closest atoms and distances in Å follow each position.
Fractional coordinates of all 20 atoms:
Dy 0.0456 0.9544 0.5000  1 Y 3.33, 4 In 3.33-3.45, 6 Dy 3.36-3.68
Dy 0.0759 0.4491 0.9996  3 In 3.09-3.23, 1 Dy 3.35, 1 Y 3.39
Dy 0.2329 0.2985 0.6886  4 In 3.15-3.30, 3 Dy 3.35-3.53
Dy 0.2985 0.2329 0.1886  4 In 3.15-3.30, 3 Dy 3.35-3.53
Dy 0.3025 0.6975 0.6612  3 In 3.25-3.36, 6 Dy 3.51-3.60
Dy 0.4491 0.0759 0.4996  3 In 3.09-3.23, 1 Dy 3.35, 1 Y 3.39
Dy 0.5509 0.9241 0.9996  3 In 3.09-3.23, 1 Dy 3.35, 1 Y 3.39
Dy 0.6975 0.3025 0.1612  3 In 3.25-3.36, 6 Dy 3.51-3.60
Dy 0.7015 0.7671 0.6886  4 In 3.15-3.30, 3 Dy 3.35-3.53
Dy 0.7671 0.7015 0.1886  4 In 3.15-3.30, 3 Dy 3.35-3.53
Dy 0.9241 0.5509 0.4996  3 In 3.09-3.23, 1 Dy 3.35, 1 Y 3.39
Dy 0.9544 0.0456 0.0000  1 Y 3.33, 4 In 3.33-3.45, 6 Dy 3.36-3.68
Y 0.2075 0.7925 0.2104  2 In 3.27, 5 Dy 3.33-3.55
Y 0.7925 0.2075 0.7104  2 In 3.27, 5 Dy 3.33-3.55
In 0.0110 0.2807 0.3621  1 In 3.06, 6 Dy 3.09-3.36, 1 Y 3.27
In 0.2807 0.0110 0.8621  1 In 3.06, 6 Dy 3.09-3.36, 1 Y 3.27
In 0.4467 0.5533 0.9725  7 Dy 3.23-3.30
In 0.5533 0.4467 0.4725  7 Dy 3.23-3.30
In 0.7193 0.9890 0.3621  1 In 3.06, 6 Dy 3.09-3.36, 1 Y 3.27
In 0.9890 0.7193 0.8621  1 In 3.06, 6 Dy 3.09-3.36, 1 Y 3.27

**Size of the total moment**: 0.001 μB/f.u.
**Formation energy**: -0.134 eV per atom
**Density of states at the Fermi level**: 25.258 states/eV/cell

***

(3)
Material: In2FeNiSe
Method: DFT, GGA-PBE
State: optimized geometry

a b c (Å): 4.9413 4.9413 4.5570
angles (deg): 90.00 90.00 90.00
Closest atoms and distances in Å follow each position.
Fractional coordinates of all 5 atoms:
In 0.0000 0.5000 0.0000  2 Ni 2.47
In 0.5000 0.0000 0.0000  2 Ni 2.47
Fe 0.0000 0.0000 0.5000  2 Ni 2.28
Ni 0.0000 0.0000 0.0000  2 Fe 2.28, 4 In 2.47
Se 0.5000 0.5000 0.5000  8 In 3.36, 4 Fe 3.49

**Size of the total moment**: 3.742 μB/f.u.
**Density of states at the Fermi level**: 6.437 states/eV/cell
**E_form (uncorrected)**: 0.31 eV/atom

***

(4)
Material: PmDy3Tm6Sc2
Method: DFT, GGA-PBE
State: optimized geometry

a b c (Å): 6.0179 6.0179 11.5330
angles (deg): 94.98 94.98 119.96
Closest atoms and distances in Å follow each position.
Fractional coordinates of all 12 atoms:
Pm 0.0000 0.0000 0.0000  6 Tm 3.45, 6 Sc 3.47-3.48
Dy 0.1672 0.8328 0.5000  6 Dy 3.47-3.48, 6 Tm 3.50-3.52
Dy 0.5000 0.5000 0.5000  6 Dy 3.47-3.48, 6 Tm 3.51
Dy 0.8328 0.1672 0.5000  6 Dy 3.47-3.48, 6 Tm 3.50-3.52
Tm 0.0829 0.4185 0.2463  2 Sc 3.44, 1 Pm 3.45, 6 Tm 3.46-3.50, 3 Dy 3.50-3.52
Tm 0.2531 0.2531 0.7538  2 Sc 3.44, 1 Pm 3.45, 6 Tm 3.46-3.50, 3 Dy 3.51-3.52
Tm 0.4185 0.0829 0.2463  2 Sc 3.44, 1 Pm 3.45, 6 Tm 3.46-3.50, 3 Dy 3.50-3.52
Tm 0.5815 0.9171 0.7537  2 Sc 3.44, 1 Pm 3.45, 6 Tm 3.46-3.50, 3 Dy 3.50-3.52
Tm 0.7469 0.7469 0.2462  2 Sc 3.44, 1 Pm 3.45, 6 Tm 3.46-3.50, 3 Dy 3.51-3.52
Tm 0.9171 0.5815 0.7537  2 Sc 3.44, 1 Pm 3.45, 6 Tm 3.46-3.50, 3 Dy 3.50-3.52
Sc 0.3333 0.6667 0.0000  6 Tm 3.44, 3 Pm 3.47-3.48, 3 Sc 3.47-3.48
Sc 0.6667 0.3333 0.0000  6 Tm 3.44, 3 Pm 3.47-3.48, 3 Sc 3.47-3.48

**Size of the total moment**: 0.000 μB/f.u.
**Formation energy**: 0.038 eV per atom
**Density of states at the Fermi level**: 17.048 states/eV/cell

***

(5)
Material: La4AlSb
Method: DFT, GGA-PBE
State: optimized geometry

a b c (Å): 10.4034 10.4034 10.4034
angles (deg): 60.00 60.00 60.00
Closest atoms and distances in Å follow each position.
Fractional coordinates of all 24 atoms:
La 0.0546 0.0546 0.4454  2 Sb 3.22
La 0.0546 0.4454 0.0546  2 Sb 3.22
La 0.0546 0.4454 0.4454  2 Sb 3.22
La 0.1277 0.6241 0.6241  3 Al 3.26, 3 Sb 3.32
La 0.1910 0.1910 0.8090  2 Al 3.37, 2 Sb 3.71, 2 La 3.75
La 0.1910 0.8090 0.1910  2 Al 3.37, 2 Sb 3.71, 2 La 3.75
La 0.1910 0.8090 0.8090  2 Al 3.37, 2 Sb 3.71, 2 La 3.75
La 0.4454 0.0546 0.0546  2 Sb 3.22
La 0.4454 0.0546 0.4454  2 Sb 3.22
La 0.4454 0.4454 0.0546  2 Sb 3.22
La 0.6241 0.1277 0.6241  3 Al 3.26, 3 Sb 3.32
La 0.6241 0.6241 0.1277  3 Al 3.26, 3 Sb 3.32
La 0.6241 0.6241 0.6241  3 Al 3.26, 3 Sb 3.32
La 0.8090 0.1910 0.1910  2 Al 3.37, 2 Sb 3.71, 2 La 3.75
La 0.8090 0.1910 0.8090  2 Al 3.37, 2 Sb 3.71, 2 La 3.75
La 0.8090 0.8090 0.1910  2 Al 3.37, 2 Sb 3.71, 2 La 3.75
Al 0.4817 0.8394 0.8394  6 La 3.26-3.37
Al 0.8394 0.4817 0.8394  6 La 3.26-3.37
Al 0.8394 0.8394 0.4817  6 La 3.26-3.37
Al 0.8394 0.8394 0.8394  6 La 3.26-3.37
Sb 0.4015 0.4015 0.4015  6 La 3.22-3.32
Sb 0.4015 0.4015 0.7956  6 La 3.22-3.32
Sb 0.4015 0.7956 0.4015  6 La 3.22-3.32
Sb 0.7956 0.4015 0.4015  6 La 3.22-3.32

**Size of the total moment**: 0.272 μB/f.u.
**Density of states at the Fermi level**: 23.074 states/eV/cell
**E_form (uncorrected)**: -0.48 eV/atom

***

(6)
Material: CdSnMoRu2
Method: DFT, GGA-PBE
State: optimized geometry

a b c (Å): 4.7587 4.7587 5.2002
angles (deg): 90.00 90.00 90.00
Closest atoms and distances in Å follow each position.
Fractional coordinates of all 5 atoms:
Cd 0.0000 0.0000 0.0000  4 Sn 3.36, 8 Ru 3.52
Sn 0.5000 0.5000 0.0000  2 Mo 2.60
Mo 0.5000 0.5000 0.5000  4 Ru 2.38, 2 Sn 2.60
Ru 0.0000 0.5000 0.5000  2 Mo 2.38
Ru 0.5000 0.0000 0.5000  2 Mo 2.38

**Size of the total moment**: 0.000 μB/f.u.
**Formation energy**: 1.184 eV per atom
**Density of states at the Fermi level**: 5.759 states/eV/cell